Record 1
Crystalline LiZrReMo at its relaxed geometry. Source: OQMD, functional GGA-PBE.

Cell: 6.349 6.349 6.349 Å, 90.00 90.00 90.00°
Space group F-43m (No. 216)
One atom of each set of equivalent atoms:
Li (0.000, 0.000, 0.000)
Zr (0.250, 0.250, 0.750)
Re (0.250, 0.250, 0.250)
Mo (0.000, 0.000, 0.500)

Values from the calculation:
Crystal system: cubic
ΔE to the lowest computed polymorph in meV per atom: 77
Calculated density in Mg/m³: 9.9


Record 2
Crystalline HfCuAsPd at its relaxed geometry. Source: OQMD, functional GGA-PBE.

Cell: 6.410 6.410 6.410 Å, 90.00 90.00 90.00°
Space group F-43m (No. 216)
One atom of each set of equivalent atoms:
Hf (0.000, 0.000, 0.000)
Cu (0.000, 0.000, 0.500)
As (0.250, 0.250, 0.250)
Pd (0.250, 0.250, 0.750)

Values from the calculation:
Crystal system: cubic
ΔE to the lowest computed polymorph in meV per atom: 0
Calculated density in Mg/m³: 10.7


Record 3
Crystalline TaPtAu at its relaxed geometry. Source: OQMD, functional GGA-PBE.

Cell: 6.212 6.212 6.212 Å, 90.00 90.00 90.00°
Space group F-43m (No. 216)
One atom of each set of equivalent atoms:
Ta (0.000, 0.000, 0.000)
Pt (0.250, 0.250, 0.250)
Au (0.250, 0.250, 0.750)

Values from the calculation:
Crystal system: cubic
ΔE to the lowest computed polymorph in meV per atom: 6
Energy of formation in eV per atom: 0.03
Calculated density in Mg/m³: 15.9


Record 4
Crystalline ScBeOs at its relaxed geometry. Source: OQMD, functional GGA-PBE.

Cell: 5.994 5.994 5.994 Å, 90.00 90.00 90.00°
Space group F-43m (No. 216)
One atom of each set of equivalent atoms:
Sc (0.000, 0.000, 0.000)
Be (0.250, 0.250, 0.750)
Os (0.250, 0.250, 0.250)

Values from the calculation:
Crystal system: cubic
Uncorrected energy in eV for the cell shown: -73.8
Calculated density in Mg/m³: 7.5


Record 5
Crystalline NpAl2 at its relaxed geometry. Source: OQMD, functional GGA-PBE.

Cell: 5.746 5.746 5.529 Å, 90.00 90.00 90.00°
Space group P4_2/mnm (No. 136)
One atom of each set of equivalent atoms:
Np (0.000, 0.000, 0.000)
Al (0.152, 0.152, 0.500)

Values from the calculation:
Crystal system: tetragonal
Uncorrected energy in eV for the cell shown: -33.8
Calculated density in Mg/m³: 5.3


Record 6
Crystalline HfUHg at its relaxed geometry. Source: OQMD, functional GGA-PBE.

Cell: 6.947 6.947 6.947 Å, 90.00 90.00 90.00°
Space group F-43m (No. 216)
One atom of each set of equivalent atoms:
Hf (0.000, 0.000, 0.000)
U (0.000, 0.000, 0.500)
Hg (0.250, 0.250, 0.250)

Values from the calculation:
Crystal system: cubic
ΔE to the lowest computed polymorph in meV per atom: 0
Energy of formation in eV per atom: 0.86
Calculated density in Mg/m³: 12.2


Record 7
Crystalline Zr2Sc4Bi3N3 at its relaxed geometry. Source: OQMD, functional GGA-PBE.

Cell: 10.213 5.904 14.705 Å, 90.00 103.36 90.00°
Space group C2/c (No. 15)
One atom of each set of equivalent atoms:
Zr (0.056, 0.083, 0.420)
Sc (0.110, 0.417, 0.580)
Sc (0.223, 0.416, 0.920)
Bi (0.000, 0.420, 0.250)
Bi (0.168, 0.083, 0.750)
N (0.085, 0.256, 0.000)
N (0.250, 0.250, 0.500)

Values from the calculation:
Crystal system: monoclinic
Uncorrected energy in eV for the cell shown: -371.0
Calculated density in Mg/m³: 7.9


Record 8
Crystalline MgZnGa4 at its relaxed geometry. Source: OQMD, functional GGA-PBE.

Cell: 4.3218 4.3218 7.0307 Å, 90.00 90.00 120.00°
Space group P-6m2 (No. 187)
One atom of each set of equivalent atoms:
Mg (0.0000, 0.0000, 0.0000)
Zn (0.0000, 0.0000, 0.5000)
Ga (0.3333, 0.6667, 0.1975)
Ga (0.6667, 0.3333, 0.3082)

Values from the calculation:
Crystal system: hexagonal
Uncorrected energy in eV for the cell shown: -15.0
Calculated density in Mg/m³: 5.4